Record 1
Material: BaCrMo
Method: DFT, PBE
State: optimized geometry

```
3
Lattice="0.0000 3.5316 3.5316 3.5316 0.0000 3.5316 3.5316 3.5316 0.0000" Properties=species:S:1:pos:R:3 pbc="T T T"
Ba 0.0000 0.0000 0.0000
Cr 5.2974 5.2974 5.2974
Mo 1.7658 1.7658 1.7658
```

Summary:
ρ: 5377 kg/m³
spin magnetization: 2.292 μB per atom
E_form: 2.34 eV per atom
polymorph energy (0 for the lowest one): 1506 meV per atom

---

Record 2
Material: BaCrMo
Method: DFT, PBE
State: optimized geometry

```
3
Lattice="-1.6714 1.6714 6.3621 1.6714 -1.6714 6.3621 1.6714 1.6714 -6.3621" Properties=species:S:1:pos:R:3 pbc="T T T"
Ba 0.0000 0.0000 0.0000
Cr 0.0000 0.0000 3.5967
Mo 0.0000 0.0000 9.1441
```

Summary:
ρ: 6663 kg/m³
spin magnetization: 0.466 μB per atom
E_form: 0.84 eV per atom
polymorph energy (0 for the lowest one): 0 meV per atom

---

Record 3
Material: BaCrMo2
Method: DFT, PBE
State: optimized geometry

```
4
Lattice="2.8282 -4.9893 0.0000 2.8282 4.9893 0.0000 -0.9939 0.0000 2.7865" Properties=species:S:1:pos:R:3 pbc="T T T"
Ba 0.0000 0.0000 0.0000
Cr 2.8282 0.0000 0.0000
Mo 0.9171 2.4947 1.3933
Mo 0.9171 -2.4947 1.3933
```

Summary:
ρ: 8049 kg/m³
spin magnetization: 0.582 μB per atom
E_form: 1.38 eV per atom
polymorph energy (0 for the lowest one): 616 meV per atom

---

Record 4
Material: BaCrMo2
Method: DFT, PBE
State: optimized geometry

```
4
Lattice="4.6431 -1.6298 0.0000 4.6431 1.6298 0.0000 -1.6387 0.0000 6.2586" Properties=species:S:1:pos:R:3 pbc="T T T"
Ba 0.0000 0.0000 0.0000
Cr 1.0510 0.0000 3.8579
Mo 3.9472 0.0000 3.2439
Mo 6.7243 0.0000 2.4553
```

Summary:
ρ: 6683 kg/m³
spin magnetization: 0.136 μB per atom
E_form: 0.88 eV per atom
polymorph energy (0 for the lowest one): 115 meV per atom

---

Record 5
Material: BaCrMo2
Method: DFT, PBE
State: optimized geometry

```
4
Lattice="4.0785 -1.9523 0.0000 4.0785 1.9523 0.0000 -2.5435 0.0000 6.2796" Properties=species:S:1:pos:R:3 pbc="T T T"
Ba 0.0000 0.0000 0.0000
Cr 2.8067 0.0000 3.1398
Mo 0.0360 0.0000 3.6173
Mo 5.5774 0.0000 2.6622
```

Summary:
ρ: 6330 kg/m³
spin magnetization: 0.000 μB per atom
E_form: 0.80 eV per atom
polymorph energy (0 for the lowest one): 39 meV per atom

---

Record 6
Material: BaCr3Mo
Method: DFT, PBE
State: optimized geometry

```
5
Lattice="4.9320 0.0000 0.0000 0.0000 4.9320 0.0000 0.0000 0.0000 4.9320" Properties=species:S:1:pos:R:3 pbc="T T T"
Ba 0.0000 0.0000 0.0000
Cr 0.0000 0.0000 2.4660
Cr 0.0000 2.4660 0.0000
Cr 2.4660 0.0000 0.0000
Mo 2.4660 2.4660 2.4660
```

Summary:
ρ: 5388 kg/m³
spin magnetization: 1.207 μB per atom
E_form: 2.76 eV per atom
polymorph energy (0 for the lowest one): 1704 meV per atom